DFT (PBE-GGA) results for a geometry-optimized CaYGa2Ir structure.

Cell: 5.200 5.200 5.860 Å, 90.00 90.00 90.00°
Atoms (fractional coordinates):
Y (0.000, 0.000, 0.000)
Ca (0.000, 0.000, 0.500)
Ir (0.500, 0.500, 0.500)
Ga (0.000, 0.500, 0.000)
Ga (0.500, 0.000, 0.000)

Output
**Symmetry**: No. 123
**Uncorrected energy**: -3.196 eV/atom
**Energy of formation**: 7.40 eV per formula unit
**DOS at the Fermi energy**: 7.0 states/eV per cell